Entry 1:
## Dy6Hg2Os (PBE-GGA)

Data for a relaxed structure of Dy6Hg2Os.

Calculated values
SG: Immm (71)
ΔE_f, kJ/mol of atoms: -17

abc: 5.0754 7.0964 8.5591
angles: 114.49 107.22 90.00
With the nearest neighbours (Å) after each atom.
Sites, in units of the cell vectors:
1 Hg 0.6661 0.6663 0.3326  8 Dy 3.11-3.13
2 Dy 0.8441 0.6019 0.6878  1 Os 2.87, 3 Hg 3.13
3 Dy 0.1559 0.3981 0.3122  1 Os 2.87, 3 Hg 3.13
4 Hg 0.3339 0.3337 0.6674  8 Dy 3.11-3.13
5 Dy 0.1559 0.9142 0.3122  1 Os 2.87, 3 Hg 3.13
6 Os 0.0000 0.0000 0.0000  8 Dy 2.87-3.02
7 Dy 0.5000 0.2297 0.0000  2 Os 3.02, 2 Hg 3.11, 1 Dy 3.26
8 Dy 0.5000 0.7703 0.0000  2 Os 3.02, 2 Hg 3.11, 1 Dy 3.26
9 Dy 0.8441 0.0858 0.6878  1 Os 2.87, 3 Hg 3.13


Entry 2:
## Dy8Hg2Os (PBE-GGA)

Data for a relaxed structure of Dy8Hg2Os.

Calculated values
SG: C2/m (12)
ΔE_f, kJ/mol of atoms: -24

abc: 5.2295 6.8928 9.2221
angles: 107.93 106.47 90.00
With the nearest neighbours (Å) after each atom.
Sites, in units of the cell vectors:
1 Dy 0.6543 0.9600 0.3087  1 Os 2.83, 1 Hg 3.03
2 Dy 0.4104 0.5727 0.8208  1 Os 2.86
3 Hg 0.1828 0.7157 0.3656  5 Dy 2.95-3.24
4 Dy 0.0228 0.7915 0.0456  1 Hg 3.04, 2 Os 3.07, 3 Dy 3.23-3.34
5 Dy 0.9772 0.2085 0.9544  1 Hg 3.04, 2 Os 3.07, 3 Dy 3.23-3.34
6 Os 0.5000 0.0000 0.0000  8 Dy 2.83-3.07
7 Dy 0.8015 0.6983 0.6030  1 Hg 2.95
8 Hg 0.8172 0.2843 0.6344  5 Dy 2.95-3.24
9 Dy 0.3457 0.0400 0.6913  1 Os 2.83, 1 Hg 3.03
10 Dy 0.5896 0.4273 0.1792  1 Os 2.86
11 Dy 0.1985 0.3017 0.3970  1 Hg 2.95


Entry 3:
## Dy8Hg2Os3 (PBE-GGA)

Data for a relaxed structure of Dy8Hg2Os3.

Calculated values
SG: Cmmm (65)
ΔE_f, kJ/mol of atoms: -23

abc: 4.8817 9.7729 8.8001
angles: 123.71 90.00 90.00
With the nearest neighbours (Å) after each atom.
Sites, in units of the cell vectors:
1 Dy 0.0000 0.6089 0.2178  2 Os 2.91-2.92, 2 Hg 3.14, 1 Dy 3.19
2 Hg 0.5000 0.7440 0.4881  8 Dy 3.14-3.22
3 Os 0.0000 0.7496 0.0002  8 Dy 2.91-2.95
4 Os 0.5000 0.0000 0.0000  8 Dy 2.91-2.94
5 Dy 0.5000 0.1366 0.7790  3 Os 2.91-2.93, 2 Hg 3.15-3.22, 1 Dy 3.23
6 Dy 0.0000 0.8874 0.7750  4 Os 2.94-2.95, 2 Hg 3.22, 1 Dy 3.29
7 Hg 0.5000 0.2560 0.5119  8 Dy 3.14-3.22
8 Os 0.0000 0.2504 0.9998  8 Dy 2.91-2.95
9 Dy 0.0000 0.3911 0.7822  2 Os 2.91-2.92, 2 Hg 3.14, 1 Dy 3.19
10 Dy 0.5000 0.8634 0.2210  3 Os 2.91-2.93, 2 Hg 3.15-3.22, 1 Dy 3.23
11 Dy 0.5000 0.6423 0.7796  3 Os 2.91-2.93, 2 Hg 3.15-3.22, 1 Dy 3.23
12 Dy 0.0000 0.1126 0.2250  4 Os 2.94-2.95, 2 Hg 3.22, 1 Dy 3.29
13 Dy 0.5000 0.3577 0.2204  3 Os 2.91-2.93, 2 Hg 3.15-3.22, 1 Dy 3.23


Entry 4:
## Dy6Hg2Os (PBE-GGA)

Data for a relaxed structure of Dy6Hg2Os.

Calculated values
SG: Immm (71)
ΔE_f, kJ/mol of atoms: -23

abc: 8.5535 8.5535 8.5535
angles: 72.96 70.75 112.17
With the nearest neighbours (Å) after each atom.
Sites, in units of the cell vectors:
1 Dy 0.8306 0.7537 0.4157  1 Os 3.02, 1 Hg 3.10, 1 Dy 3.36
2 Dy 0.8306 0.2463 0.9232  1 Os 3.02, 1 Hg 3.10, 1 Dy 3.36
3 Dy 0.5499 0.7332 0.1832  2 Os 2.87-3.13, 1 Hg 3.06
4 Dy 0.3318 0.0686 0.2632  3 Hg 2.99-3.24, 1 Os 3.12, 3 Dy 3.21-3.29
5 Dy 0.4501 0.2668 0.8168  2 Os 2.87-3.13, 1 Hg 3.06
6 Hg 0.3539 0.0000 0.6461  1 Hg 2.89, 8 Dy 3.06-3.24
7 Dy 0.6682 0.9314 0.7368  3 Hg 2.99-3.24, 1 Os 3.12, 3 Dy 3.21-3.29
8 Dy 0.1694 0.7537 0.0768  1 Os 3.02, 1 Hg 3.10, 1 Dy 3.36
9 Hg 0.1468 0.6468 0.5000  1 Hg 2.80, 2 Dy 2.99
10 Hg 0.8532 0.3532 0.5000  1 Hg 2.80, 2 Dy 2.99
11 Dy 0.1694 0.2463 0.5843  1 Os 3.02, 1 Hg 3.10, 1 Dy 3.36
12 Dy 0.6682 0.4050 0.2632  3 Hg 2.99-3.24, 1 Os 3.12, 3 Dy 3.21-3.29
13 Os 0.5000 0.5000 0.0000  8 Dy 2.87-3.12
14 Hg 0.6461 0.0000 0.3539  1 Hg 2.89, 8 Dy 3.06-3.24
15 Dy 0.0836 0.2668 0.1832  2 Os 2.87-3.13, 1 Hg 3.06
16 Dy 0.9164 0.7332 0.8168  2 Os 2.87-3.13, 1 Hg 3.06
17 Dy 0.3318 0.5950 0.7368  3 Hg 2.99-3.24, 1 Os 3.12, 3 Dy 3.21-3.29
18 Os 0.0000 0.0000 0.0000  8 Dy 3.02-3.13